MnZnFe2Ni: relaxed, PBE.

a = 4.1846 Å, b = 4.2746 Å, c = 4.1846 Å
α = 90.00°, β = 90.00°, γ = 90.00°
Site moments in Bohr magnetons follow the coordinates.
Atoms (fractional coordinates):
Ni1 0.0000 0.0000 0.0000  0.37
Zn1 0.0000 0.5000 0.0000  0.01
Mn1 0.5000 0.5000 0.5000  0.02
Fe1 0.0000 0.0000 0.5000  -0.20
Fe2 0.5000 0.0000 0.0000  -0.27

Values from the calculation:
Total DFT energy (no corrections), eV/atom: -5.0651
ρ, Mg/m³: 6.45
Size of the total moment, μB per cell: 0.03